## SmCu (PBE)

Data for a relaxed SmCu crystal.

Geometry as POSCAR:
```
SmCu
1.0
7.323 0.000 0.000
0.000 4.554 0.000
0.000 0.000 5.485
Sm Cu
4 4
direct
0.181 0.250 0.127
0.319 0.750 0.627
0.681 0.250 0.373
0.819 0.750 0.873
0.033 0.250 0.620
0.467 0.750 0.120
0.533 0.250 0.880
0.967 0.750 0.380
```

Calculated values
The density of states at the Fermi level is 0.48 states/eV per atom. The value obtained for the energy of formation from the pure elements is -0.2141 eV per atom.